# 1
# Rb2Sn2H7 GGA-PBE optimized geometry
data_Rb2Sn2H7
_chemical_formula_sum 'Rb2 Sn2 H7'
_symmetry_space_group_name_H-M 'P 1'
_symmetry_Int_Tables_number 1
_symmetry_space_group_name_Hall 'P 1'
_cell_length_a 6.652
_cell_length_b 6.652
_cell_length_c 4.483
_cell_angle_alpha 90.18
_cell_angle_beta 90.18
_cell_angle_gamma 75.75
loop_
_atom_site_label
_atom_site_type_symbol
_atom_site_fract_x
_atom_site_fract_y
_atom_site_fract_z
_atom_site_occupancy
Rb1 Rb 0.248 0.248 0.004 1
Rb2 Rb 0.752 0.752 0.996 1
Sn1 Sn 0.279 0.721 0.500 1
Sn2 Sn 0.721 0.279 0.500 1
H1 H 0.000 0.000 0.000 1
H2 H 0.011 0.713 0.496 1
H3 H 0.287 0.989 0.504 1
H4 H 0.499 0.499 0.742 1
H5 H 0.501 0.501 0.258 1
H6 H 0.713 0.011 0.496 1
H7 H 0.989 0.287 0.504 1
# N(E_F) in states/eV/f.u.: 1.78
# Total energy in eV per formula unit: -30.37
# Crystal system: monoclinic

---

# 2
# ErBe2Rh GGA-PBE optimized geometry
data_ErBe2Rh
_chemical_formula_sum 'Er3 Be6 Rh3'
_symmetry_space_group_name_H-M 'P 1'
_symmetry_Int_Tables_number 1
_symmetry_space_group_name_Hall 'P 1'
_cell_length_a 3.846
_cell_length_b 3.846
_cell_length_c 14.375
_cell_angle_alpha 90.00
_cell_angle_beta 90.00
_cell_angle_gamma 120.00
loop_
_atom_site_label
_atom_site_type_symbol
_atom_site_fract_x
_atom_site_fract_y
_atom_site_fract_z
_atom_site_occupancy
Er1 Er 0.000 0.000 0.000 1
Er2 Er 0.333 0.667 0.667 1
Er3 Er 0.667 0.333 0.333 1
Be1 Be 0.000 0.000 0.198 1
Be2 Be 0.000 0.000 0.802 1
Be3 Be 0.333 0.667 0.469 1
Be4 Be 0.333 0.667 0.864 1
Be5 Be 0.667 0.333 0.136 1
Be6 Be 0.667 0.333 0.531 1
Rh1 Rh 0.000 0.000 0.500 1
Rh2 Rh 0.333 0.667 0.167 1
Rh3 Rh 0.667 0.333 0.833 1
# N(E_F) in states/eV/f.u.: 2.63
# Total energy in eV per formula unit: -21.22
# Crystal system: trigonal
# Energy relative to the elements in eV/atom: -0.46

---

# 3
# TmBeTe GGA-PBE optimized geometry
data_TmBeTe
_chemical_formula_sum 'Tm4 Be4 Te4'
_symmetry_space_group_name_H-M 'P 1'
_symmetry_Int_Tables_number 1
_symmetry_space_group_name_Hall 'P 1'
_cell_length_a 3.924
_cell_length_b 18.491
_cell_length_c 3.980
_cell_angle_alpha 90.00
_cell_angle_beta 90.00
_cell_angle_gamma 90.00
loop_
_atom_site_label
_atom_site_type_symbol
_atom_site_fract_x
_atom_site_fract_y
_atom_site_fract_z
_atom_site_occupancy
Tm1 Tm 0.000 0.087 0.250 1
Tm2 Tm 0.000 0.913 0.750 1
Tm3 Tm 0.500 0.413 0.750 1
Tm4 Tm 0.500 0.587 0.250 1
Be1 Be 0.000 0.474 0.250 1
Be2 Be 0.000 0.526 0.750 1
Be3 Be 0.500 0.026 0.750 1
Be4 Be 0.500 0.974 0.250 1
Te1 Te 0.000 0.341 0.250 1
Te2 Te 0.000 0.659 0.750 1
Te3 Te 0.500 0.159 0.750 1
Te4 Te 0.500 0.841 0.250 1
# N(E_F) in states/eV/f.u.: 1.23
# Total energy in eV per formula unit: -13.45
# Uncorrected formation energy in eV/atom: -0.70
# Crystal system: orthorhombic

---

# 4
# KIn4Sb3 GGA-PBE optimized geometry
data_KIn4Sb3
_chemical_formula_sum 'K1 In4 Sb3'
_symmetry_space_group_name_H-M 'P 1'
_symmetry_Int_Tables_number 1
_symmetry_space_group_name_Hall 'P 1'
_cell_length_a 4.861
_cell_length_b 4.861
_cell_length_c 11.232
_cell_angle_alpha 90.00
_cell_angle_beta 90.00
_cell_angle_gamma 90.00
loop_
_atom_site_label
_atom_site_type_symbol
_atom_site_fract_x
_atom_site_fract_y
_atom_site_fract_z
_atom_site_occupancy
K1 K 0.000 0.000 0.000 1
In1 In 0.000 0.500 0.314 1
In2 In 0.000 0.500 0.686 1
In3 In 0.500 0.000 0.314 1
In4 In 0.500 0.000 0.686 1
Sb1 Sb 0.000 0.000 0.500 1
Sb2 Sb 0.500 0.500 0.140 1
Sb3 Sb 0.500 0.500 0.860 1
# N(E_F) in states/eV/f.u.: 1.96
# Total energy in eV per formula unit: -25.23
# Uncorrected formation energy in eV/atom: -0.10
# Crystal system: tetragonal

---

Copy entry 3 word for word.
# TmBeTe GGA-PBE optimized geometry
data_TmBeTe
_chemical_formula_sum 'Tm4 Be4 Te4'
_symmetry_space_group_name_H-M 'P 1'
_symmetry_Int_Tables_number 1
_symmetry_space_group_name_Hall 'P 1'
_cell_length_a 3.924
_cell_length_b 18.491
_cell_length_c 3.980
_cell_angle_alpha 90.00
_cell_angle_beta 90.00
_cell_angle_gamma 90.00
loop_
_atom_site_label
_atom_site_type_symbol
_atom_site_fract_x
_atom_site_fract_y
_atom_site_fract_z
_atom_site_occupancy
Tm1 Tm 0.000 0.087 0.250 1
Tm2 Tm 0.000 0.913 0.750 1
Tm3 Tm 0.500 0.413 0.750 1
Tm4 Tm 0.500 0.587 0.250 1
Be1 Be 0.000 0.474 0.250 1
Be2 Be 0.000 0.526 0.750 1
Be3 Be 0.500 0.026 0.750 1
Be4 Be 0.500 0.974 0.250 1
Te1 Te 0.000 0.341 0.250 1
Te2 Te 0.000 0.659 0.750 1
Te3 Te 0.500 0.159 0.750 1
Te4 Te 0.500 0.841 0.250 1
# N(E_F) in states/eV/f.u.: 1.23
# Total energy in eV per formula unit: -13.45
# Uncorrected formation energy in eV/atom: -0.70
# Crystal system: orthorhombic

---

Question: Which of these has the lowest N(E_F)?
Answer: TmBeTe